Compound: Sm5Al2
Source: Alexandria
Functional: PBE
Structure: optimized geometry

Properties
- distance to the lowest polymorph of the same formula (meV/atom) = 0
- energy of formation (eV per formula unit) = -1.31
- total DFT energy (no corrections) (eV for the cell shown) = -64.78

Lattice parameters (Å, degrees): 5.6463 9.0016 8.4635 98.21 109.49 90.00
Element x y z (fractional)
Al 0.3745 0.1000 0.1656
Al 0.2089 0.4000 0.8344
Al 0.6255 0.9000 0.8344
Al 0.7911 0.6000 0.1656
Sm 0.1194 0.6767 0.5482
Sm 0.4288 0.1767 0.5482
Sm 0.9033 0.9501 0.2372
Sm 0.5712 0.8233 0.4518
Sm 0.7638 0.2500 0.0000
Sm 0.6660 0.5499 0.7628
Sm 0.8806 0.3233 0.4518
Sm 0.3340 0.4501 0.2372
Sm 0.2362 0.7500 0.0000
Sm 0.0967 0.0499 0.7628

Compound: Sm5Al2
Source: Alexandria
Functional: PBE
Structure: optimized geometry

Properties
- distance to the lowest polymorph of the same formula (meV/atom) = 12
- energy of formation (eV per formula unit) = -1.23
- total DFT energy (no corrections) (eV for the cell shown) = -64.62

Lattice parameters (Å, degrees): 6.7115 8.0904 9.1014 116.39 111.64 90.00
Element x y z (fractional)
Sm 0.5124 0.2624 0.5248
Sm 0.9172 0.7553 0.8345
Sm 0.0124 0.2624 0.5248
Sm 0.9876 0.7376 0.4752
Sm 0.4172 0.0792 0.8345
Sm 0.4876 0.7376 0.4752
Sm 0.0828 0.2447 0.1655
Sm 0.5828 0.9208 0.1655
Sm 0.2500 0.5000 0.0000
Sm 0.7500 0.5000 0.0000
Al 0.3741 0.6422 0.7483
Al 0.1259 0.8940 0.2517
Al 0.8741 0.1060 0.7483
Al 0.6259 0.3578 0.2517

Compound: Sm3Al11
Source: Alexandria
Functional: PBE
Structure: optimized geometry

Properties
- energy of formation (eV per formula unit) = -5.16
- total DFT energy (no corrections) (eV for the cell shown) = -60.48

Lattice parameters (Å, degrees): 8.4484 8.4484 8.4484 150.06 107.84 80.04
Element x y z (fractional)
Al 0.5000 0.0000 0.5000
Al 0.9657 0.3345 0.6311
Al 0.4118 0.1364 0.2754
Al 0.7127 0.5000 0.2127
Al 0.2966 0.6655 0.6311
Al 0.5882 0.8636 0.7246
Al 0.8610 0.1364 0.7246
Al 0.7034 0.3345 0.3689
Al 0.2873 0.5000 0.7873
Al 0.0343 0.6655 0.3689
Al 0.1390 0.8636 0.2754
Sm 0.3164 0.3164 0.0000
Sm 0.6836 0.6836 0.0000
Sm 0.0000 0.0000 0.0000

Compound: Sm2Al3
Source: Alexandria
Functional: PBE
Structure: optimized geometry

Properties
- energy of formation (eV per formula unit) = -2.11
- total DFT energy (no corrections) (eV for the cell shown) = -45.54

Lattice parameters (Å, degrees): 5.9831 5.9831 8.0692 90.00 90.00 55.66
Element x y z (fractional)
Sm 0.1565 0.1565 0.5977
Sm 0.3435 0.3435 0.0977
Sm 0.6565 0.6565 0.9023
Sm 0.8435 0.8435 0.4023
Al 0.8487 0.3487 0.2500
Al 0.6512 0.1513 0.7500
Al 0.5000 0.5000 0.5000
Al 0.1512 0.6513 0.7500
Al 0.3487 0.8487 0.2500
Al 0.0000 0.0000 0.0000